1.
Below is a relaxed structure of Hg2AsO4, with properties calculated at the PBE level.

## Properties
The magnetization is 0.000 μB/f.u. Its energy relative to the elements, uncorrected is -0.550 eV per atom.

Cell and atoms, written as extended XYZ:
```
7
Lattice="5.5950 -1.4980 0.0000 5.5950 1.4980 0.0000 -3.0359 0.0000 5.7048" Properties=species:S:1:pos:R:3 pbc="T T T"
Hg 1.2630 0.0000 0.6671
Hg 6.8912 0.0000 5.0377
As 4.0771 0.0000 2.8524
O -0.3162 0.0000 2.4672
O 3.4778 0.0000 1.1194
O 4.6763 0.0000 4.5854
O 8.4704 0.0000 3.2376
```

2.
Below is a relaxed structure of RbSmH8S2O12, with properties calculated at the PBE level.

## Properties
The total energy is -551.53 eV/cell. The magnetization is 0.000 μB/f.u.

Cell and atoms, written as extended XYZ:
```
96
Lattice="6.6930 0.0000 0.0000 0.0000 19.3168 0.0000 -1.0669 0.0000 8.6620" Properties=species:S:1:pos:R:3 pbc="T T T"
Rb 0.9118 3.9744 1.0500
Rb 0.3783 5.6841 5.3810
Rb 5.2478 13.6328 3.2809
Rb 4.7143 15.3425 7.6119
Sm 1.6154 12.0388 6.1673
Sm 2.1489 16.9364 1.8363
Sm 3.4772 2.3804 6.8257
Sm 4.0106 7.2780 2.4947
H -0.1471 1.1352 2.9719
H -0.6805 8.5232 7.3028
H 0.8397 1.8609 3.9982
H 0.3062 7.7975 8.3292
H 0.9882 10.9501 3.3339
H 0.4547 18.0252 7.6648
H 1.5999 0.6337 2.1241
H 1.0665 9.0247 6.4550
H 0.9841 9.9595 8.5885
H 1.5175 19.0157 4.2575
H 1.7005 12.3065 3.0550
H 1.1670 16.6688 7.3860
H 2.2335 0.5167 0.6722
H 1.7000 9.1417 5.0032
H 2.2922 11.4279 0.4831
H 1.7587 17.5473 4.8141
H 3.8673 1.7695 3.8479
H 3.3339 7.8889 8.1788
H 3.9260 10.1751 3.6587
H 3.3926 18.8001 7.9897
H 4.4591 2.6481 1.2759
H 3.9256 7.0103 5.6069
H 4.1085 0.3011 4.4045
H 4.6420 9.3573 0.0735
H 4.5596 10.2921 2.2069
H 4.0261 18.6831 6.5379
H 5.1713 1.2917 0.9971
H 4.6379 8.3668 5.3281
H 5.3198 11.5193 0.3328
H 4.7864 17.4559 4.6638
H 6.3066 10.7937 1.3591
H 5.7731 18.1816 5.6901
S 0.4425 1.4581 6.7819
S 0.9759 8.2003 2.4509
S 2.4161 13.9720 0.7632
S 1.8827 15.0032 5.0942
S 3.7434 4.3136 3.5677
S 3.2099 5.3448 7.8987
S 4.6501 11.1165 6.2111
S 5.1836 17.8587 1.8801
O -0.8099 2.2356 6.9169
O -0.2765 7.4229 2.5859
O 0.1782 0.0268 6.5362
O 0.7117 9.6317 2.2052
O 0.6713 1.6806 3.0358
O 0.1378 7.9778 7.3668
O 0.5963 14.2894 5.3453
O 1.1297 14.6858 1.0143
O 1.1575 11.8386 3.7448
O 0.6240 17.1367 8.0758
O 1.2813 2.0375 5.6666
O 1.8148 7.6209 1.3357
O 1.0965 10.8877 8.3194
O 1.6299 18.0875 3.9884
O 2.0545 19.3127 1.4983
O 1.5210 9.6625 5.8293
O 1.2921 1.6342 8.0113
O 1.8256 8.0242 3.6803
O 1.4587 13.6169 7.9879
O 1.9922 15.3583 3.6569
O 2.5361 12.7405 1.5914
O 2.0027 16.2347 5.9224
O 2.1152 4.3772 7.5484
O 2.6486 5.2812 3.2174
O 2.9774 14.0356 5.4445
O 3.5109 14.9396 1.1136
O 3.6234 3.0821 2.7396
O 3.0899 6.5763 7.0705
O 3.6339 3.9585 5.0050
O 4.1673 5.6999 0.6740
O 3.8005 11.2926 4.9816
O 4.3339 17.6826 0.6507
O 3.5716 0.0041 7.1636
O 4.1050 9.6543 2.8326
O 3.9961 1.2293 4.6735
O 4.5296 8.4291 0.3425
O 3.8113 11.6959 7.3263
O 4.3447 17.2793 2.9953
O 5.0021 2.1802 0.5862
O 4.4686 7.4783 4.9172
O 4.4963 4.6310 7.6477
O 5.0298 5.0274 3.3167
O 5.4882 11.3390 1.2952
O 4.9548 17.6362 5.6261
O 4.9144 9.6852 6.4568
O 5.4478 19.2901 2.1258
O 5.9025 11.8940 6.0761
O 6.4360 17.0813 1.7451
```

3.
Below is a relaxed structure of Pm2PuHg, with properties calculated at the PBE level.

## Properties
For the formation energy, the calculation gives 162 meV/atom. The magnetization is 6.520 μB/f.u.

Cell and atoms, written as extended XYZ:
```
4
Lattice="1.7378 1.0033 11.7890 -1.7378 1.0033 11.7890 0.0000 -2.0067 11.7890" Properties=species:S:1:pos:R:3 pbc="T T T"
Pm 0.0000 0.0000 3.3208
Pm 0.0000 0.0000 32.0463
Pu 0.0000 0.0000 0.0000
Hg 0.0000 0.0000 17.6836
```

4.
Below is a relaxed structure of Mn2CuP, with properties calculated at the PBE level.

## Properties
For the formation energy, the calculation gives -68 meV/atom. The magnetization is 5.714 μB/f.u.

Cell and atoms, written as extended XYZ:
```
4
Lattice="3.5154 0.0000 0.0000 0.0000 1.5300 4.7121 0.0000 -1.5300 4.7121" Properties=species:S:1:pos:R:3 pbc="T T T"
Mn 0.0000 0.0000 0.0000
Mn 1.7577 0.0000 3.1016
Cu 0.0000 0.0000 6.8834
P 1.7577 0.0000 5.4450
```

5.
Below is a relaxed structure of Ag7Pd5Au, with properties calculated at the PBE level.

## Properties
For the formation energy, the calculation gives 75 meV/atom. The magnetization is 0.000 μB/f.u.

Cell and atoms, written as extended XYZ:
```
13
Lattice="-2.6649 4.6513 4.7551 2.6649 -4.6513 4.7551 2.6649 4.6513 -4.7551" Properties=species:S:1:pos:R:3 pbc="T T T"
Ag 0.0000 0.0000 0.0000
Ag 2.6649 0.0000 1.0212
Ag 2.6649 -1.7895 3.2121
Ag 0.0000 0.0000 3.8189
Ag 2.6649 1.7895 3.2121
Ag 0.0000 3.1747 3.2087
Ag 0.0000 6.1279 3.2087
Pd 1.3434 2.3667 0.8201
Pd 1.3215 -2.2846 5.5752
Pd 0.0000 4.6513 0.7018
Pd 1.3434 6.9360 0.8201
Pd 1.3215 2.2846 5.5752
Au 0.0000 0.0000 6.6708
```

6.
Below is a relaxed structure of SrErPt, with properties calculated at the PBE level.

## Properties
For the formation energy, the calculation gives -700 meV/atom. The magnetization is 0.000 μB/f.u.

Cell and atoms, written as extended XYZ:
```
3
Lattice="4.2141 0.0000 0.0000 -2.1070 3.6495 0.0000 0.0000 0.0000 6.6846" Properties=species:S:1:pos:R:3 pbc="T T T"
Sr 0.0000 0.0000 0.0000
Er 2.1070 1.2165 3.1405
Pt 0.0000 2.4330 1.8720
```

Question: What is the magnetization in the sixth record?
Answer: 0.000 μB/f.u.